Entry 1:
Here is an optimized crystal structure of Ac2Al6PdRh from the Alexandria database. Energies are from GGA-PBE.

Lattice parameters (Å, degrees): 6.566 7.004 6.994 55.97 62.06 90.02
Fractional coordinates of all 10 atoms:
Al 0.751 0.249 0.903
Al 0.654 0.750 0.098
Al 0.751 0.654 0.498
Al 0.249 0.751 0.097
Al 0.346 0.250 0.902
Al 0.249 0.346 0.502
Rh 0.000 0.000 0.000
Pd 0.500 0.500 0.000
Ac 0.793 0.207 0.415
Ac 0.207 0.793 0.585

Values from the calculation:
Calculated formation energy in meV per atom: -585

=====

Entry 2:
Here is an optimized crystal structure of Nd2Ga4Cu3Ni from the Alexandria database. Energies are from GGA-PBE.

Lattice parameters (Å, degrees): 4.206 4.206 10.101 90.00 90.00 90.00
Fractional coordinates of all 10 atoms:
Ga 0.000 0.500 0.378
Ga 0.000 0.000 0.000
Ga 0.500 0.500 0.000
Ga 0.500 0.000 0.622
Cu 0.000 0.500 0.135
Cu 0.000 0.000 0.500
Cu 0.500 0.000 0.865
Nd 0.500 0.000 0.257
Nd 0.000 0.500 0.743
Ni 0.500 0.500 0.500

Values from the calculation:
Calculated formation energy in meV per atom: -463

=====

Entry 3:
Here is an optimized crystal structure of BaAgRu2 from the Alexandria database. Energies are from GGA-PBE.

Lattice parameters (Å, degrees): 10.348 10.348 10.348 16.70 16.70 16.70
Fractional coordinates of all 4 atoms:
Ru 0.256 0.256 0.256
Ru 0.985 0.985 0.985
Ba 0.746 0.746 0.746
Ag 0.513 0.513 0.513

Values from the calculation:
Excess energy over the best structure of this formula in the dataset in eV/f.u.: 2.234
Calculated formation energy in meV per atom: 857

=====

Entry 4:
Here is an optimized crystal structure of Rb2TeRuPt from the Alexandria database. Energies are from GGA-PBE.

Lattice parameters (Å, degrees): 6.641 4.939 6.641 90.00 90.00 90.00
Fractional coordinates of all 5 atoms:
Ru 0.500 0.500 0.500
Pt 0.000 0.000 0.000
Te 0.000 0.500 0.000
Rb 0.500 0.000 0.000
Rb 0.000 0.000 0.500

Values from the calculation:
E_form (uncorrected) in eV per atom: 0.79

=====

Number 3 is which compound?
BaAgRu2

=====

What is the formula in the first record?
Ac2Al6PdRh